Below is a geometry-optimized LiAcDySn structure, with properties calculated at the GGA-PBE level.

The space group is F-43m (No. 216) and the conventional cell measures 7.766, 7.766 and 7.766 Å, with angles of 90.00, 90.00 and 90.00 degrees. Symmetry generates all atoms from Li at (0.000, 0.000, 0.000), Ac at (0.250, 0.250, 0.750), Dy at (0.250, 0.250, 0.250) and Sn at (0.000, 0.000, 0.500).

The energy relative to the elements is -0.338 eV/atom.

---

Below is a geometry-optimized Ba4HPd2 structure, with properties calculated at the GGA-PBE level.

The space group is P2_1/m (No. 11) and the conventional cell measures 7.563, 7.828 and 8.862 Å, with angles of 90.00, 106.95 and 90.00 degrees. Symmetry generates all atoms from Ba at (0.009, 0.006, 0.250), Ba at (0.455, 0.250, 0.606), Ba at (0.459, 0.250, 0.123), H at (0.245, 0.250, 0.310), Pd at (0.221, 0.750, 0.553) and Pd at (0.225, 0.750, 0.058).

The value obtained for the distance to the lowest polymorph of the same formula is 0.0 kJ/mol of formula units.

---

Below is a geometry-optimized CaInSe2 structure, with properties calculated at the GGA-PBE level.

The space group is Fm-3m (No. 225) and the conventional cell measures 7.318, 7.318 and 7.318 Å, with angles of 90.00, 90.00 and 90.00 degrees. Symmetry generates all atoms from Ca at (0.000, 0.000, 0.000), In at (0.000, 0.000, 0.500) and Se at (0.250, 0.250, 0.250).

The value obtained for the uncorrected formation energy is -0.87 eV per atom.